First-principles (PBE-GGA) data for a relaxed LaSmAgRh crystal, as listed in the Alexandria database.

## Properties
ΔH_f (0 K): -0.457 eV/atom

Cell lengths 5.164, 5.164, 5.164 Å; angles 60.00, 60.00, 60.00 degrees
Atoms (fractional coordinates):
Sm 0.500 0.500 0.500
Rh 0.750 0.750 0.750
La 0.000 0.000 0.000
Ag 0.250 0.250 0.250



First-principles (PBE-GGA) data for a relaxed NdPbCl5 crystal, as listed in the Alexandria database.

## Properties
Formation energy from raw total energies: -1.73 eV per atom

Cell lengths 7.390, 7.390, 10.735 Å; angles 109.05, 109.05, 87.36 degrees
Atoms (fractional coordinates):
Cl 0.230 0.270 0.250
Nd 0.500 0.500 0.500
Cl 0.207 0.734 0.518
Cl 0.766 0.293 0.982
Cl 0.793 0.266 0.482
Nd 0.000 0.000 0.000
Cl 0.813 0.893 0.149
Cl 0.393 0.313 0.649
Cl 0.234 0.707 0.018
Cl 0.607 0.687 0.351
Pb 0.908 0.592 0.250
Pb 0.092 0.408 0.750
Cl 0.770 0.730 0.750
Cl 0.187 0.107 0.851



First-principles (PBE-GGA) data for a relaxed TlPbSeF crystal, as listed in the Alexandria database.

## Properties
Formation energy from raw total energies: -1.05 eV per atom

Cell lengths 4.217, 4.217, 16.198 Å; angles 82.52, 82.52, 60.00 degrees
Atoms (fractional coordinates):
Se 0.102 0.102 0.694
F 0.684 0.684 0.947
F 0.316 0.316 0.053
Tl 0.632 0.632 0.105
Pb 0.200 0.200 0.399
Pb 0.800 0.800 0.601
Se 0.898 0.898 0.306
Tl 0.368 0.368 0.895



First-principles (PBE-GGA) data for a relaxed KSr2CaCd crystal, as listed in the Alexandria database.

## Properties
ΔH_f (0 K): 0.003 eV/atom

Cell lengths 6.475, 6.475, 6.234 Å; angles 90.00, 90.00, 90.00 degrees
Atoms (fractional coordinates):
Sr 0.000 0.500 0.000
Cd 0.000 0.000 0.000
Sr 0.500 0.000 0.000
Ca 0.000 0.000 0.500
K 0.500 0.500 0.500



First-principles (PBE-GGA) data for a relaxed LaPPbF2 crystal, as listed in the Alexandria database.

## Properties
Formation energy from raw total energies: -1.61 eV per atom

Cell lengths 4.540, 5.958, 4.540 Å; angles 90.00, 90.00, 90.00 degrees
Atoms (fractional coordinates):
Pb 0.000 0.000 0.000
P 0.000 0.500 0.000
F 0.500 0.000 0.000
La 0.500 0.500 0.500
F 0.000 0.000 0.500